No. 1
# Sm2Si3SbPt4

Crystalline Sm2Si3SbPt4 at its relaxed geometry (GGA-PBE, the Alexandria database).

Cell and atoms, written as CIF:
```
data_Sm2Si3SbPt4
_cell_length_a 4.2275
_cell_length_b 4.2275
_cell_length_c 10.6286
_cell_angle_alpha 90.00
_cell_angle_beta 90.00
_cell_angle_gamma 90.00
_space_group_name_H-M_alt 'P -4 m 2'
_space_group_IT_number 115
loop_
_space_group_symop_operation_xyz
'x,y,z'
'y,-x,-z'
'-x,-y,z'
'-y,x,-z'
'-x,y,z'
'-y,-x,-z'
'x,-y,z'
'y,x,-z'
loop_
_atom_site_label
_atom_site_type_symbol
_atom_site_fract_x
_atom_site_fract_y
_atom_site_fract_z
Sm1 Sm 0.0000 0.5000 0.2337
Si1 Si 0.0000 0.5000 0.8746
Si2 Si 0.5000 0.5000 0.5000
Sb1 Sb 0.0000 0.0000 0.5000
Pt1 Pt 0.0000 0.0000 0.0000
Pt2 Pt 0.0000 0.5000 0.6506
Pt3 Pt 0.5000 0.5000 0.0000
```

No. 2
# Sr3Si2SbPt9

Crystalline Sr3Si2SbPt9 at its relaxed geometry (GGA-PBE, the Alexandria database).

Cell and atoms, written as CIF:
```
data_Sr3Si2SbPt9
_cell_length_a 6.4973
_cell_length_b 6.4973
_cell_length_c 9.0532
_cell_angle_alpha 90.00
_cell_angle_beta 90.00
_cell_angle_gamma 120.00
_space_group_name_H-M_alt 'P -3 m 1'
_space_group_IT_number 164
_space_group_name_Hall '-P 3 2"'
loop_
_atom_site_label
_atom_site_type_symbol
_atom_site_fract_x
_atom_site_fract_y
_atom_site_fract_z
Sr1 Sr 0.0000 0.0000 0.0000
Sr2 Sr 0.3333 0.6667 0.6773
Si1 Si 0.3333 0.6667 0.1726
Sb1 Sb 0.0000 0.0000 0.5000
Pt1 Pt 0.0000 0.5000 0.0000
Pt2 Pt 0.1460 0.2920 0.2719
```

No. 3
# Sr2SiSbPt6

Crystalline Sr2SiSbPt6 at its relaxed geometry (GGA-PBE, the Alexandria database).

Cell and atoms, written as CIF:
```
data_Sr2SiSbPt6
_cell_length_a 12.0971
_cell_length_b 5.6741
_cell_length_c 8.3839
_cell_angle_alpha 90.00
_cell_angle_beta 129.89
_cell_angle_gamma 90.00
_space_group_name_H-M_alt 'C 1 2/m 1'
_space_group_IT_number 12
loop_
_space_group_symop_operation_xyz
'x,y,z'
'-x,-y,-z'
'-x,y,-z'
'x,-y,z'
'x+1/2,y+1/2,z'
'-x+1/2,-y+1/2,-z'
'-x+1/2,y+1/2,-z'
'x+1/2,-y+1/2,z'
loop_
_atom_site_label
_atom_site_type_symbol
_atom_site_fract_x
_atom_site_fract_y
_atom_site_fract_z
Sr1 Sr 0.2495 0.0000 0.2062
Si1 Si 0.0000 0.0000 0.5000
Sb1 Sb 0.0000 0.5000 0.0000
Pt1 Pt 0.0235 0.2469 0.2869
Pt2 Pt 0.2445 0.0000 0.6208
```

No. 4
# Tb3Si2SbPt9

Crystalline Tb3Si2SbPt9 at its relaxed geometry (GGA-PBE, the Alexandria database).

Cell and atoms, written as CIF:
```
data_Tb3Si2SbPt9
_cell_length_a 6.4176
_cell_length_b 6.4176
_cell_length_c 9.1569
_cell_angle_alpha 90.00
_cell_angle_beta 90.00
_cell_angle_gamma 120.00
_space_group_name_H-M_alt 'P -3 m 1'
_space_group_IT_number 164
_space_group_name_Hall '-P 3 2"'
loop_
_atom_site_label
_atom_site_type_symbol
_atom_site_fract_x
_atom_site_fract_y
_atom_site_fract_z
Tb1 Tb 0.0000 0.0000 0.0000
Tb2 Tb 0.3333 0.6667 0.7407
Si1 Si 0.3333 0.6667 0.1759
Sb1 Sb 0.0000 0.0000 0.5000
Pt1 Pt 0.0000 0.5000 0.0000
Pt2 Pt 0.1444 0.2888 0.2678
```

No. 5
# TbSi2Sb2Pt7

Crystalline TbSi2Sb2Pt7 at its relaxed geometry (GGA-PBE, the Alexandria database).

Cell and atoms, written as CIF:
```
data_TbSi2Sb2Pt7
_cell_length_a 5.5976
_cell_length_b 5.5970
_cell_length_c 15.3575
_cell_angle_alpha 90.00
_cell_angle_beta 100.44
_cell_angle_gamma 90.00
_space_group_name_H-M_alt 'C 1 2/m 1'
_space_group_IT_number 12
loop_
_space_group_symop_operation_xyz
'x,y,z'
'-x,-y,-z'
'-x,y,-z'
'x,-y,z'
'x+1/2,y+1/2,z'
'-x+1/2,-y+1/2,-z'
'-x+1/2,y+1/2,-z'
'x+1/2,-y+1/2,z'
loop_
_atom_site_label
_atom_site_type_symbol
_atom_site_fract_x
_atom_site_fract_y
_atom_site_fract_z
Tb1 Tb 0.0000 0.0000 0.0000
Si1 Si 0.1183 0.5000 0.2392
Sb1 Sb 0.2108 0.0000 0.4224
Pt1 Pt 0.0000 0.5000 0.0000
Pt2 Pt 0.1766 0.2500 0.8513
Pt3 Pt 0.1976 0.5000 0.3952
```

No. 6
# USi2Sb2Pt7

Crystalline USi2Sb2Pt7 at its relaxed geometry (GGA-PBE, the Alexandria database).

Cell and atoms, written as CIF:
```
data_USi2Sb2Pt7
_cell_length_a 3.9654
_cell_length_b 3.9654
_cell_length_c 30.2799
_cell_angle_alpha 90.00
_cell_angle_beta 90.00
_cell_angle_gamma 90.00
_space_group_name_H-M_alt 'I 4/m m m'
_space_group_IT_number 139
_space_group_name_Hall '-I 4 2'
loop_
_atom_site_label
_atom_site_type_symbol
_atom_site_fract_x
_atom_site_fract_y
_atom_site_fract_z
U1 U 0.0000 0.0000 0.0000
Si1 Si 0.0000 0.0000 0.3792
Sb1 Sb 0.0000 0.0000 0.2114
Pt1 Pt 0.0000 0.0000 0.3020
Pt2 Pt 0.0000 0.0000 0.5000
Pt3 Pt 0.0000 0.5000 0.0741
```

No. 7
# Y3Si2SbPt9

Crystalline Y3Si2SbPt9 at its relaxed geometry (GGA-PBE, the Alexandria database).

Cell and atoms, written as CIF:
```
data_Y3Si2SbPt9
_cell_length_a 5.6414
_cell_length_b 5.6414
_cell_length_c 11.5589
_cell_angle_alpha 90.00
_cell_angle_beta 90.00
_cell_angle_gamma 120.00
_space_group_name_H-M_alt 'P -3 m 1'
_space_group_IT_number 164
_space_group_name_Hall '-P 3 2"'
loop_
_atom_site_label
_atom_site_type_symbol
_atom_site_fract_x
_atom_site_fract_y
_atom_site_fract_z
Y1 Y 0.0000 0.0000 0.0000
Y2 Y 0.3333 0.6667 0.7703
Si1 Si 0.3333 0.6667 0.1614
Sb1 Sb 0.0000 0.0000 0.5000
Pt1 Pt 0.0000 0.5000 0.0000
Pt2 Pt 0.1650 0.3299 0.3122
```

No. 8
# SmSbPt4

Crystalline SmSbPt4 at its relaxed geometry (GGA-PBE, the Alexandria database).

Cell and atoms, written as CIF:
```
data_SmSbPt4
_cell_length_a 7.8967
_cell_length_b 4.0935
_cell_length_c 7.2326
_cell_angle_alpha 90.00
_cell_angle_beta 90.00
_cell_angle_gamma 90.00
_space_group_name_H-M_alt 'P m m a'
_space_group_IT_number 51
loop_
_space_group_symop_operation_xyz
'x,y,z'
'-x,-y,-z'
'-x+1/2,-y,z'
'x+1/2,y,-z'
'x+1/2,-y,-z'
'-x+1/2,y,z'
'-x,y,-z'
'x,-y,z'
loop_
_atom_site_label
_atom_site_type_symbol
_atom_site_fract_x
_atom_site_fract_y
_atom_site_fract_z
Sm1 Sm 0.2500 0.0000 0.1549
Sb1 Sb 0.2500 0.0000 0.7375
Pt1 Pt 0.0000 0.0000 0.5000
Pt2 Pt 0.0262 0.5000 0.8090
Pt3 Pt 0.2500 0.5000 0.4566
```

Results
energy relative to the lowest polymorph listed for this composition = 0.080 eV/atom

No. 9
# Sm8Sb2Pt

Crystalline Sm8Sb2Pt at its relaxed geometry (GGA-PBE, the Alexandria database).

Cell and atoms, written as CIF:
```
data_Sm8Sb2Pt
_cell_length_a 19.1024
_cell_length_b 4.7165
_cell_length_c 7.5357
_cell_angle_alpha 90.00
_cell_angle_beta 98.54
_cell_angle_gamma 90.00
_space_group_name_H-M_alt 'C 1 2/m 1'
_space_group_IT_number 12
loop_
_space_group_symop_operation_xyz
'x,y,z'
'-x,-y,-z'
'-x,y,-z'
'x,-y,z'
'x+1/2,y+1/2,z'
'-x+1/2,-y+1/2,-z'
'-x+1/2,y+1/2,-z'
'x+1/2,-y+1/2,z'
loop_
_atom_site_label
_atom_site_type_symbol
_atom_site_fract_x
_atom_site_fract_y
_atom_site_fract_z
Sm1 Sm 0.0071 0.0000 0.2768
Sm2 Sm 0.0957 0.5000 0.0088
Sm3 Sm 0.1505 0.5000 0.5283
Sm4 Sm 0.2150 0.0000 0.8497
Sb1 Sb 0.1827 0.0000 0.2662
Pt1 Pt 0.0000 0.5000 0.5000
```

No. 10
# Sm6Sb2Pt

Crystalline Sm6Sb2Pt at its relaxed geometry (GGA-PBE, the Alexandria database).

Cell and atoms, written as CIF:
```
data_Sm6Sb2Pt
_cell_length_a 6.4503
_cell_length_b 8.2359
_cell_length_c 12.0510
_cell_angle_alpha 90.00
_cell_angle_beta 120.86
_cell_angle_gamma 90.00
_space_group_name_H-M_alt 'P 1 21/c 1'
_space_group_IT_number 14
loop_
_space_group_symop_operation_xyz
'x,y,z'
'-x,-y,-z'
'-x,y+1/2,-z+1/2'
'x,-y+1/2,z+1/2'
loop_
_atom_site_label
_atom_site_type_symbol
_atom_site_fract_x
_atom_site_fract_y
_atom_site_fract_z
Sm1 Sm 0.0835 0.1864 0.4533
Sm2 Sm 0.3181 0.6733 0.4556
Sm3 Sm 0.3700 0.0280 0.2416
Sb1 Sb 0.1560 0.1151 0.7485
Pt1 Pt 0.5000 0.0000 0.5000
```

No. 11
# SmSbPt6

Crystalline SmSbPt6 at its relaxed geometry (GGA-PBE, the Alexandria database).

Cell and atoms, written as CIF:
```
data_SmSbPt6
_cell_length_a 4.1323
_cell_length_b 4.1323
_cell_length_c 8.2332
_cell_angle_alpha 90.00
_cell_angle_beta 90.00
_cell_angle_gamma 90.00
_space_group_name_H-M_alt 'P 4/m m m'
_space_group_IT_number 123
_space_group_name_Hall '-P 4 2'
loop_
_atom_site_label
_atom_site_type_symbol
_atom_site_fract_x
_atom_site_fract_y
_atom_site_fract_z
Sm1 Sm 0.0000 0.0000 0.0000
Sb1 Sb 0.0000 0.0000 0.5000
Pt1 Pt 0.0000 0.5000 0.2582
Pt2 Pt 0.5000 0.5000 0.0000
Pt3 Pt 0.5000 0.5000 0.5000
```

No. 12
# SmSbPt4

Crystalline SmSbPt4 at its relaxed geometry (GGA-PBE, the Alexandria database).

Cell and atoms, written as CIF:
```
data_SmSbPt4
_cell_length_a 7.7073
_cell_length_b 7.7073
_cell_length_c 7.7073
_cell_angle_alpha 90.00
_cell_angle_beta 90.00
_cell_angle_gamma 90.00
_space_group_name_H-M_alt 'F -4 3 m'
_space_group_IT_number 216
_space_group_name_Hall 'F -4 2 3'
loop_
_atom_site_label
_atom_site_type_symbol
_atom_site_fract_x
_atom_site_fract_y
_atom_site_fract_z
Sm1 Sm 0.0000 0.0000 0.0000
Sb1 Sb 0.2500 0.2500 0.2500
Pt1 Pt 0.1251 0.1251 0.6251
```

Results
energy relative to the lowest polymorph listed for this composition = 0.000 eV/atom

Here are the calculated uncorrected formation energy numbers, same order: -0.9711 -0.6020 -0.7231 -0.7155 -0.6851 -0.5846 -0.8394 -0.5936 -0.5913 -0.7469 -0.5556 -0.6738 (eV per atom).